Entry 1:
GGA-PBE CdOsRu2, relaxed; ΔE_f = 70.24 kJ per mole of atoms; uncorrected energy = -6.946 eV per atom
1.0
2.8388 0.0000 0.0000
0.0000 4.6471 0.0000
0.0000 0.0000 4.7115
Cd Os Ru
1 1 2
direct
0.0000 0.0000 0.0000
0.5000 0.0000 0.5000
0.0000 0.5000 0.5000
0.5000 0.5000 0.0000

Entry 2:
GGA-PBE CdOsRu2, relaxed; ΔE_f = 81.78 kJ per mole of atoms; uncorrected energy = -6.827 eV per atom
1.0
-3.6207 3.6207 2.7126
3.6207 -3.6207 2.7126
3.6207 3.6207 -2.7126
Cd Os Ru
2 2 4
direct
0.0000 0.0000 0.0000
0.7500 0.2500 0.5000
0.2500 0.7500 0.5000
0.5000 0.5000 0.0000
0.1761 0.6250 0.0511
0.3750 0.4261 0.5511
0.5739 0.1250 0.9489
0.8750 0.8239 0.4489

Entry 3:
GGA-PBE CdOsRu2, relaxed; ΔE_f = 63.75 kJ per mole of atoms; uncorrected energy = -7.013 eV per atom
1.0
4.0197 0.0000 0.0000
0.0000 4.0197 0.0000
0.0000 0.0000 3.8196
Cd Os Ru
1 1 2
direct
0.0000 0.0000 0.0000
0.5000 0.5000 0.0000
0.0000 0.5000 0.5000
0.5000 0.0000 0.5000

Entry 4:
GGA-PBE CdOsRu2, relaxed; ΔE_f = 52.13 kJ per mole of atoms; uncorrected energy = -7.134 eV per atom
1.0
1.4080 -2.3551 0.0000
1.4080 2.3551 0.0000
0.0000 0.0000 9.4916
Cd Os Ru
1 1 2
direct
0.0000 0.0000 0.0000
0.0000 0.0000 0.5000
0.5000 0.5000 0.2647
0.5000 0.5000 0.7353

Entry 5:
GGA-PBE CdOsRu2, relaxed; ΔE_f = 55.79 kJ per mole of atoms; uncorrected energy = -7.096 eV per atom
1.0
-1.4012 2.3557 4.8322
1.4012 -2.3557 4.8322
1.4012 2.3557 -4.8322
Cd Os Ru
1 1 2
direct
0.0000 0.0000 0.0000
0.5000 0.5000 0.0000
0.2754 0.7754 0.5000
0.7246 0.2246 0.5000

Entry 6:
GGA-PBE CdOsRu, relaxed; energy relative to the lowest polymorph listed for this composition = 50 meV/atom; ΔE_f = 28.40 kJ per mole of atoms; uncorrected energy = -6.846 eV per atom
1.0
2.8002 0.0000 0.0000
-1.4001 2.4250 0.0000
0.0000 0.0000 7.0374
Cd Os Ru
1 1 1
direct
0.0000 0.0000 0.0000
0.6667 0.3333 0.3595
0.3333 0.6667 0.6471

Entry 7:
GGA-PBE Ti2CdOsRu, relaxed; ΔE_f = 200.87 kJ per mole of atoms; uncorrected energy = -5.360 eV per atom
1.0
4.7502 0.0000 0.0000
0.0000 4.7502 0.0000
0.0000 0.0000 4.6802
Ti Cd Os Ru
2 1 1 1
direct
0.0000 0.5000 0.0000
0.5000 0.0000 0.0000
0.0000 0.0000 0.0000
0.5000 0.5000 0.5000
0.0000 0.0000 0.5000

Entry 8:
GGA-PBE ZnCd2OsRu, relaxed; ΔE_f = 150.42 kJ per mole of atoms; uncorrected energy = -3.163 eV per atom
1.0
4.6903 0.0000 0.0000
0.0000 4.6903 0.0000
0.0000 0.0000 4.5872
Zn Cd Os Ru
1 2 1 1
direct
0.0000 0.0000 0.0000
0.0000 0.5000 0.0000
0.5000 0.0000 0.0000
0.5000 0.5000 0.5000
0.0000 0.0000 0.5000

Entry 9:
GGA-PBE CdOs3S, relaxed; energy relative to the lowest polymorph listed for this composition = 0 meV/atom; E_form (uncorrected) = 1.033 eV per atom; uncorrected energy = -6.713 eV per atom
1.0
4.3790 0.0000 0.0000
0.0000 4.3790 0.0000
0.0000 0.0000 4.3790
Cd Os S
1 3 1
direct
0.0000 0.0000 0.0000
0.0000 0.5000 0.5000
0.5000 0.0000 0.5000
0.5000 0.5000 0.0000
0.5000 0.5000 0.5000

Entry 10:
GGA-PBE CdOs3S, relaxed; energy relative to the lowest polymorph listed for this composition = 2377 meV/atom; E_form (uncorrected) = 3.410 eV per atom; uncorrected energy = -4.336 eV per atom
1.0
4.9385 0.0000 0.0000
0.0000 4.9385 0.0000
0.0000 0.0000 4.9385
Cd Os S
1 3 1
direct
0.0000 0.0000 0.0000
0.0000 0.0000 0.5000
0.0000 0.5000 0.0000
0.5000 0.0000 0.0000
0.5000 0.5000 0.5000

Entry 11:
GGA-PBE Cd2OsS, relaxed; E_form (uncorrected) = 0.816 eV per atom; uncorrected energy = -3.481 eV per atom
1.0
-3.8085 3.8085 2.6523
3.8085 -3.8085 2.6523
3.8085 3.8085 -2.6523
Cd Os S
4 2 2
direct
0.1084 0.6250 0.9834
0.3750 0.3584 0.4834
0.6416 0.1250 0.0166
0.8750 0.8916 0.5166
0.2500 0.7500 0.5000
0.5000 0.5000 0.0000
0.0000 0.0000 0.0000
0.7500 0.2500 0.5000

Entry 12:
GGA-PBE CdOs2S, relaxed; energy relative to the lowest polymorph listed for this composition = 416 meV/atom; E_form (uncorrected) = 1.122 eV per atom; uncorrected energy = -5.753 eV per atom
1.0
0.0000 3.1295 3.1295
3.1295 0.0000 3.1295
3.1295 3.1295 0.0000
Cd Os S
1 2 1
direct
0.0000 0.0000 0.0000
0.2500 0.2500 0.2500
0.7500 0.7500 0.7500
0.5000 0.5000 0.5000

Copy entry 11 word for word.
GGA-PBE Cd2OsS, relaxed; E_form (uncorrected) = 0.816 eV per atom; uncorrected energy = -3.481 eV per atom
1.0
-3.8085 3.8085 2.6523
3.8085 -3.8085 2.6523
3.8085 3.8085 -2.6523
Cd Os S
4 2 2
direct
0.1084 0.6250 0.9834
0.3750 0.3584 0.4834
0.6416 0.1250 0.0166
0.8750 0.8916 0.5166
0.2500 0.7500 0.5000
0.5000 0.5000 0.0000
0.0000 0.0000 0.0000
0.7500 0.2500 0.5000